Entry 1:
First-principles (PBE) data for crystalline SmHoZnIn at its relaxed geometry, as listed in the Alexandria database.

Cell: 7.4187 7.4187 7.4187 Å, 90.00 90.00 90.00°
With the nearest neighbours (Å) after each atom.
Atoms (fractional coordinates):
Sm (0.0000, 0.0000, 0.0000)  4 In 3.21, 4 Zn 3.21
Sm (0.0000, 0.5000, 0.5000)  4 In 3.21, 4 Zn 3.21
Sm (0.5000, 0.0000, 0.5000)  4 In 3.21, 4 Zn 3.21
Sm (0.5000, 0.5000, 0.0000)  4 In 3.21, 4 Zn 3.21
Ho (0.0000, 0.0000, 0.5000)  4 In 3.21, 4 Zn 3.21
Ho (0.0000, 0.5000, 0.0000)  4 In 3.21, 4 Zn 3.21
Ho (0.5000, 0.0000, 0.0000)  4 In 3.21, 4 Zn 3.21
Ho (0.5000, 0.5000, 0.5000)  4 In 3.21, 4 Zn 3.21
Zn (0.2500, 0.2500, 0.7500)  4 Ho 3.21, 4 Sm 3.21
Zn (0.2500, 0.7500, 0.2500)  4 Ho 3.21, 4 Sm 3.21
Zn (0.7500, 0.2500, 0.2500)  4 Ho 3.21, 4 Sm 3.21
Zn (0.7500, 0.7500, 0.7500)  4 Ho 3.21, 4 Sm 3.21
In (0.2500, 0.2500, 0.2500)  4 Ho 3.21, 4 Sm 3.21
In (0.2500, 0.7500, 0.7500)  4 Ho 3.21, 4 Sm 3.21
In (0.7500, 0.2500, 0.7500)  4 Ho 3.21, 4 Sm 3.21
In (0.7500, 0.7500, 0.2500)  4 Ho 3.21, 4 Sm 3.21

Output
For the total energy, the calculation gives -14.873 eV/f.u. Its energy relative to the lowest polymorph listed for this composition is 0.023 eV per atom. For the formation enthalpy at 0 K, the calculation gives -0.391 eV/atom. As for the space group: F-43m, No. 216.

---

Entry 2:
First-principles (PBE) data for crystalline DyZnGa at its relaxed geometry, as listed in the Alexandria database.

Cell: 3.5906 4.4159 7.6598 Å, 90.00 90.00 90.00°
With the nearest neighbours (Å) after each atom.
Atoms (fractional coordinates):
Dy (0.0000, 0.0000, 0.0000)  8 Ga 3.13, 4 Zn 3.13
Dy (0.0000, 0.5000, 0.5000)  4 Ga 3.10, 8 Zn 3.11
Zn (0.5000, 0.0000, 0.3353)  1 Zn 2.52, 2 Ga 2.55
Zn (0.5000, 0.0000, 0.6647)  1 Zn 2.52, 2 Ga 2.55
Ga (0.5000, 0.5000, 0.1697)  2 Zn 2.55, 1 Ga 2.60
Ga (0.5000, 0.5000, 0.8303)  2 Zn 2.55, 1 Ga 2.60

Output
For the total energy, the calculation gives -10.545 eV/f.u. For the formation enthalpy at 0 K, the calculation gives -0.547 eV/atom. As for the space group: Pmmm, No. 47.

---

Entry 3:
First-principles (PBE) data for crystalline Mn2Si2Hg at its relaxed geometry, as listed in the Alexandria database.

Cell: 3.9940 3.9940 9.7806 Å, 90.00 90.00 90.00°
With the nearest neighbours (Å) after each atom.
Atoms (fractional coordinates):
Mn (0.0000, 0.5000, 0.2500)  4 Si 2.37
Mn (0.0000, 0.5000, 0.7500)  4 Si 2.37
Mn (0.5000, 0.0000, 0.2500)  4 Si 2.37
Mn (0.5000, 0.0000, 0.7500)  4 Si 2.37
Si (0.0000, 0.0000, 0.1200)  1 Si 2.35, 4 Mn 2.37
Si (0.0000, 0.0000, 0.8800)  1 Si 2.35, 4 Mn 2.37
Si (0.5000, 0.5000, 0.3800)  1 Si 2.35, 4 Mn 2.37
Si (0.5000, 0.5000, 0.6200)  1 Si 2.35, 4 Mn 2.37
Hg (0.0000, 0.0000, 0.5000)  8 Si 3.06, 8 Mn 3.16
Hg (0.5000, 0.5000, 0.0000)  8 Si 3.06, 8 Mn 3.16

Output
For the total energy, the calculation gives -28.770 eV/f.u. The value obtained for the raw formation energy is 0.143 eV per atom. Its energy relative to the lowest polymorph listed for this composition is 0.083 eV per atom. As for the space group: I4/mmm, No. 139.

---

Entry 4:
First-principles (PBE) data for crystalline Zr6Ti2Tl at its relaxed geometry, as listed in the Alexandria database.

Cell: 8.1144 8.1144 8.1144 Å, 115.41 114.01 99.44°
With the nearest neighbours (Å) after each atom.
Atoms (fractional coordinates):
Zr (0.0346, 0.8216, 0.2130)  3 Ti 2.77-2.96
Zr (0.2437, 0.5440, 0.3004)  2 Ti 2.87-2.93, 2 Tl 3.09-3.20, 2 Zr 3.18
Zr (0.2437, 0.9433, 0.6996)  2 Ti 2.87-2.93, 2 Tl 3.09-3.20, 2 Zr 3.18
Zr (0.2935, 0.3023, 0.5958)  3 Ti 2.84-2.91, 1 Tl 3.11
Zr (0.2935, 0.6977, 0.9912)  3 Ti 2.84-2.91, 1 Tl 3.11
Zr (0.3914, 0.1784, 0.2130)  3 Ti 2.77-2.96
Zr (0.6086, 0.8216, 0.7870)  3 Ti 2.77-2.96
Zr (0.7065, 0.3023, 0.0088)  3 Ti 2.84-2.91, 1 Tl 3.11
Zr (0.7065, 0.6977, 0.4042)  3 Ti 2.84-2.91, 1 Tl 3.11
Zr (0.7563, 0.0567, 0.3004)  2 Ti 2.87-2.93, 2 Tl 3.09-3.20, 2 Zr 3.18
Zr (0.7563, 0.4560, 0.6996)  2 Ti 2.87-2.93, 2 Tl 3.09-3.20, 2 Zr 3.18
Zr (0.9654, 0.1784, 0.7870)  3 Ti 2.77-2.96
Ti (0.0000, 0.1502, 0.1502)  1 Ti 2.60, 4 Zr 2.87-2.91
Ti (0.0000, 0.8498, 0.8498)  1 Ti 2.60, 4 Zr 2.87-2.91
Ti (0.3724, 0.3724, 0.0000)  1 Ti 2.68, 8 Zr 2.77-2.93
Ti (0.6276, 0.6276, 0.0000)  1 Ti 2.68, 8 Zr 2.77-2.93
Tl (0.0000, 0.5000, 0.5000)  2 Ti 3.03, 8 Zr 3.09-3.11
Tl (0.5000, 0.0000, 0.5000)  12 Zr 3.15-3.20

Output
For the total energy, the calculation gives -68.388 eV/f.u. For the formation enthalpy at 0 K, the calculation gives 0.117 eV/atom. As for the space group: Immm, No. 71.

---

Entry 5:
First-principles (PBE) data for crystalline Sr2LaAu2 at its relaxed geometry, as listed in the Alexandria database.

Cell: 9.0826 9.0826 3.5912 Å, 90.00 90.00 90.00°
With the nearest neighbours (Å) after each atom.
Atoms (fractional coordinates):
Sr (0.1333, 0.3667, 0.0000)  6 Au 3.13-3.28, 1 Sr 3.42
Sr (0.3667, 0.8667, 0.0000)  6 Au 3.13-3.28, 1 Sr 3.42
Sr (0.6333, 0.1333, 0.0000)  6 Au 3.13-3.28, 1 Sr 3.42
Sr (0.8667, 0.6333, 0.0000)  6 Au 3.13-3.28, 1 Sr 3.42
La (0.0000, 0.0000, 0.0000)  4 Sr 3.54, 2 La 3.59, 8 Au 3.83
La (0.5000, 0.5000, 0.0000)  4 Sr 3.54, 2 La 3.59, 8 Au 3.83
Au (0.1669, 0.6669, 0.5000)  6 Sr 3.13-3.28
Au (0.3331, 0.1669, 0.5000)  6 Sr 3.13-3.28
Au (0.6669, 0.8331, 0.5000)  6 Sr 3.13-3.28
Au (0.8331, 0.3331, 0.5000)  6 Sr 3.13-3.28

Output
For the total energy, the calculation gives -16.749 eV/f.u. Its energy relative to the lowest polymorph listed for this composition is 0.230 eV per atom. For the formation enthalpy at 0 K, the calculation gives -0.381 eV/atom. As for the space group: P4/mbm, No. 127.

---

Entry 6:
First-principles (PBE) data for crystalline PaVMo2 at its relaxed geometry, as listed in the Alexandria database.

Cell: 6.5063 6.5063 6.5063 Å, 90.00 90.00 90.00°
With the nearest neighbours (Å) after each atom.
Atoms (fractional coordinates):
Pa (0.0000, 0.0000, 0.0000)  8 Mo 2.82
Pa (0.0000, 0.5000, 0.5000)  8 Mo 2.82
Pa (0.5000, 0.0000, 0.5000)  8 Mo 2.82
Pa (0.5000, 0.5000, 0.0000)  8 Mo 2.82
V (0.0000, 0.0000, 0.5000)  8 Mo 2.82
V (0.0000, 0.5000, 0.0000)  8 Mo 2.82
V (0.5000, 0.0000, 0.0000)  8 Mo 2.82
V (0.5000, 0.5000, 0.5000)  8 Mo 2.82
Mo (0.2500, 0.2500, 0.2500)  4 Pa 2.82, 4 V 2.82
Mo (0.2500, 0.2500, 0.7500)  4 Pa 2.82, 4 V 2.82
Mo (0.2500, 0.7500, 0.2500)  4 Pa 2.82, 4 V 2.82
Mo (0.2500, 0.7500, 0.7500)  4 Pa 2.82, 4 V 2.82
Mo (0.7500, 0.2500, 0.2500)  4 Pa 2.82, 4 V 2.82
Mo (0.7500, 0.2500, 0.7500)  4 Pa 2.82, 4 V 2.82
Mo (0.7500, 0.7500, 0.2500)  4 Pa 2.82, 4 V 2.82
Mo (0.7500, 0.7500, 0.7500)  4 Pa 2.82, 4 V 2.82

Output
For the total energy, the calculation gives -40.235 eV/f.u. Its energy relative to the lowest polymorph listed for this composition is 0.000 eV per atom. For the formation enthalpy at 0 K, the calculation gives 0.010 eV/atom. As for the space group: Fm-3m, No. 225.